(1)
CoAg4Pb, relaxed, DFT GGA-PBE; Fermi-level density of states = 4.25 states/eV/f.u.; formation energy from the elements = 445 meV/atom; volume = 119.5 Å³/cell; total energy = -19.55 eV/cell; magnetic moment = 1.919 μB per formula unit
1.0
2.4295 1.7443 4.6495
-2.9399 2.7438 3.7935
-1.2173 -2.4069 4.8257
Ag Co Pb
4 1 1
Direct
0.3755 0.3755 0.3755
0.3755 0.3755 0.8734
0.3755 0.8734 0.3755
0.8734 0.3755 0.3755
0.7500 0.7500 0.7500
0.0000 0.0000 0.0000


(2)
CoAg2Pb, relaxed, DFT GGA-PBE; Fermi-level density of states = 4.65 states/eV/f.u.; formation energy from the elements = 428 meV/atom; volume = 76.1 Å³/cell; total energy = -14.80 eV/cell; magnetic moment = 1.479 μB per formula unit
1.0
4.5966 0.0000 0.0000
0.0000 3.1373 0.2553
0.0000 1.2388 5.3806
Ag Pb Co
2 1 1
Direct
0.0000 0.4080 0.4718
0.0000 0.0920 0.0282
0.5000 0.7500 0.7500
0.5000 0.2500 0.2500


(3)
CoAg2Pb, relaxed, DFT GGA-PBE; Fermi-level density of states = 4.29 states/eV/f.u.; formation energy from the elements = 398 meV/atom; volume = 73.1 Å³/cell; total energy = -14.92 eV/cell; magnetic moment = 1.400 μB per formula unit
1.0
4.7553 -0.2344 -0.0157
0.5965 4.7236 0.0157
-2.6683 -2.2537 3.2357
Co Ag Pb
1 2 1
Direct
0.4999 0.4999 0.0000
0.7502 0.2502 0.5000
0.0000 0.0000 0.0000
0.2499 0.7499 0.5000


(4)
CoAgPb4, relaxed, DFT GGA-PBE; Fermi-level density of states = 7.43 states/eV/f.u.; formation energy from the elements = 798 meV/atom; volume = 177.3 Å³/cell; total energy = -20.00 eV/cell; magnetic moment = 1.829 μB per formula unit
1.0
0.0000 4.4587 4.4587
4.4587 0.0000 4.4587
4.4587 4.4587 0.0000
Co Pb Ag
1 4 1
Direct
0.0000 0.0000 0.0000
0.3747 0.8760 0.3747
0.8760 0.3747 0.3747
0.3747 0.3747 0.3747
0.3747 0.3747 0.8760
0.7500 0.7500 0.7500


(5)
CoAg2Pb, relaxed, DFT GGA-PBE; Fermi-level density of states = 3.41 states/eV/f.u.; formation energy from the elements = 428 meV/atom; volume = 75.0 Å³/cell; total energy = -14.81 eV/cell; magnetic moment = 1.227 μB per formula unit
1.0
5.8735 -0.0566 0.0450
-3.2174 4.9142 0.0450
0.7822 1.4306 2.6406
Pb Ag Co
1 2 1
Direct
0.0000 0.5000 0.5000
0.5000 0.5000 0.0000
0.0000 0.0000 0.0000
0.5000 0.0000 0.5000


(6)
CoAgPb, relaxed, DFT GGA-PBE; Fermi-level density of states = 4.75 states/eV/f.u.; formation energy from the elements = 497 meV/atom; volume = 56.1 Å³/cell; total energy = -12.17 eV/cell; magnetic moment = 1.171 μB per formula unit
1.0
-0.9930 4.7405 -2.8555
0.0292 2.4775 -5.0471
-3.0751 -0.2166 -1.2109
Co Pb Ag
1 1 1
Direct
0.3349 0.3349 0.6651
0.6839 0.6839 0.3161
0.9812 0.9812 0.0188